# CsV2SeO8, optimized geometry, DFT PBE+U
data_CsV2SeO8
_chemical_formula_sum 'Cs1 V2 Se1 O8'
_space_group_name_H-M_alt 'P 1'
_space_group_IT_number 1
_cell_length_a 5.230
_cell_length_b 5.230
_cell_length_c 8.676
_cell_angle_alpha 94.11
_cell_angle_beta 94.11
_cell_angle_gamma 64.75
loop_
_space_group_symop_operation_xyz
'x,y,z'
loop_
_atom_site_label
_atom_site_type_symbol
_atom_site_fract_x
_atom_site_fract_y
_atom_site_fract_z
_atom_site_occupancy
Cs1 Cs 0.000 0.000 0.000 1
V1 V 0.372 0.372 0.678 1
V2 V 0.628 0.628 0.322 1
Se1 Se 0.000 0.000 0.500 1
O1 O 0.217 0.217 0.536 1
O2 O 0.222 0.749 0.658 1
O3 O 0.251 0.778 0.342 1
O4 O 0.322 0.322 0.857 1
O5 O 0.678 0.678 0.143 1
O6 O 0.749 0.222 0.658 1
O7 O 0.778 0.251 0.342 1
O8 O 0.783 0.783 0.464 1
# D(E_F) = 0.422 states/eV/atom
# Electronic total energy = -6.359 eV/atom
# SG = C2/m, No. 12